Record 1
DFT (PBE-GGA) results for an optimized crystal structure of Tb11Er4Tm9.

Summary:
- energy of formation (eV/atom) = 0.053
- crystal system = orthorhombic

Cell: 16.533 24.998 3.611 Å, 90.00 90.00 90.00°
Space group Cmmm (No. 65)
Inequivalent atoms, fractional coordinates:
Tb 0.000 0.000 0.000
Tb 0.000 0.160 0.000
Tb 0.000 0.368 0.000
Tb 0.208 0.500 0.000
Tb 0.226 0.181 0.000
Er 0.156 0.399 0.500
Tm 0.000 0.500 0.500
Tm 0.102 0.267 0.500
Tm 0.141 0.073 0.500

---

Record 2
DFT (PBE-GGA) results for an optimized crystal structure of CeSm3Er3Se8.

Summary:
- ΔE_f (raw) (eV per atom) = -1.8111
- crystal system = trigonal

Cell: 8.1995 8.1995 20.1129 Å, 90.00 90.00 120.00°
Space group R-3m (No. 166, hexagonal axes)
Inequivalent atoms, fractional coordinates:
Ce 0.0000 0.0000 0.0000
Sm 0.0000 0.5000 0.5000
Er 0.0000 0.5000 0.0000
Se 0.0000 0.0000 0.2539
Se 0.0159 0.5080 0.2502

---

Record 3
DFT (PBE-GGA) results for an optimized crystal structure of P3C.

Summary:
- excess energy over the best structure of this formula in the dataset (eV/atom) = 0.466
- energy of formation (eV/atom) = 0.875
- crystal system = orthorhombic

Cell: 6.123 11.170 4.396 Å, 90.00 90.00 90.00°
Space group Cmcm (No. 63)
Inequivalent atoms, fractional coordinates:
P 0.000 0.048 0.250
P 0.239 0.129 0.750
C 0.000 0.406 0.250

---

Record 4
DFT (PBE-GGA) results for an optimized crystal structure of Na2SnO6.

Summary:
- ΔE_f (raw) (eV per atom) = -0.9978
- excess energy over the best structure of this formula in the dataset (eV/atom) = 0.000
- crystal system = monoclinic

Cell: 11.029 3.081 7.443 Å, 90.00 114.23 90.00°
Space group C2/m (No. 12)
Inequivalent atoms, fractional coordinates:
Na 0.184 0.000 0.227
Sn 0.000 0.500 0.500
O 0.003 0.500 0.803
O 0.126 0.500 0.948
O 0.138 0.000 0.568

---

Record 5
DFT (PBE-GGA) results for an optimized crystal structure of LaY3F.

Summary:
- ΔE_f (raw) (eV per atom) = 0.6243
- excess energy over the best structure of this formula in the dataset (eV/atom) = 1.527
- crystal system = cubic

Cell: 5.749 5.749 5.749 Å, 90.00 90.00 90.00°
Space group Pm-3m (No. 221)
Inequivalent atoms, fractional coordinates:
La 0.000 0.000 0.000
Y 0.000 0.000 0.500
F 0.500 0.500 0.500

---

Record 6
DFT (PBE-GGA) results for an optimized crystal structure of Cr2AgOs.

Summary:
- energy of formation (eV/atom) = 0.465
- crystal system = monoclinic

Cell: 9.253 2.820 4.579 Å, 90.00 107.74 90.00°
Space group Cm (No. 8)
Inequivalent atoms, fractional coordinates:
Cr 0.000 0.000 0.000
Cr 0.216 0.500 0.259
Ag 0.484 0.000 0.494
Os 0.261 0.000 0.811

---

Raw total energy for every record listed, in sequence, given in eV for the cell shown: -216.296 -266.469 -87.820 -90.740 -23.070 -62.932.